Na4FeO5: optimized geometry, GGA+U.

Values from the calculation:
SG: P-1
Crystal system: triclinic
V, Å³ per cell: 511.6
Energy, eV per atom: -4.76

Cell: 5.6832 9.9940 10.0153 Å, 113.35 96.45 96.24°
Site moments in Bohr magnetons follow the coordinates.
Element x y z (fractional)
O: 0.6723 0.4106 0.2752  0.32
Na: 0.9957 0.8032 0.1947  0.00
O: 0.3277 0.5894 0.7248  0.32
Na: 0.4969 0.0987 0.9033  0.01
O: 0.8744 0.0679 0.2274  0.12
Na: 0.7524 0.4533 0.0615  0.00
Na: 0.2767 0.1548 0.3554  0.00
Fe: 0.5121 0.2672 0.7088  3.07
O: 0.5969 0.2903 0.5483  0.26
O: 0.2044 0.1930 0.6050  0.18
Na: 0.5000 0.5000 0.5000  0.00
Fe: 0.2033 0.7607 0.7779  3.08
O: 0.1256 0.9321 0.7726  0.12
Na: 0.7237 0.6382 0.8411  0.00
O: 0.3973 0.3171 0.8833  0.17
O: 0.6153 0.0970 0.6840  -0.10
O: 0.4768 0.1537 0.1559  0.28
O: 0.9314 0.6510 0.6481  0.19
Na: 0.9975 0.6034 0.4021  0.00
Na: 0.2763 0.3618 0.1589  0.00
O: 0.2061 0.6019 0.1888  0.25
Fe: 0.7967 0.2393 0.2221  3.08
O: 0.8869 0.2265 0.0511  -0.11
O: 0.7956 0.8070 0.3950  0.18
Na: 0.2431 0.9390 0.5476  0.00
Na: 0.2476 0.5467 0.9385  0.00
Na: 0.5031 0.9013 0.0967  0.01
Na: 0.0025 0.3966 0.5979  0.00
Na: 0.0000 0.0000 0.0000  0.01
O: 0.5232 0.8463 0.8441  0.28
Na: 0.7233 0.8452 0.6446  0.00
Na: 0.0043 0.1968 0.8053  0.00
O: 0.3847 0.9030 0.3160  -0.10
O: 0.4031 0.7097 0.4517  0.26
Na: 0.7569 0.0610 0.4524  0.00
O: 0.7939 0.3981 0.8112  0.25
Fe: 0.4879 0.7328 0.2912  3.07
O: 0.0686 0.3490 0.3519  0.19
O: 0.1131 0.7735 0.9489  -0.11
O: 0.6027 0.6829 0.1167  0.17